Here is Rb2NaGe2 after structural relaxation from Alexandria. Energies are from GGA-PBEsol.

Lattice parameters (Å, degrees): 5.1714 5.1714 7.8981 109.11 109.11 90.00
Last column: nearest neighbours and their distance in Å.
Sites, in units of the cell vectors:
1 Na 0.0000 0.0000 0.0000  8 Ge 3.83
2 Ge 0.4188 0.4188 0.8375  1 Ge 2.27
3 Ge 0.5812 0.5812 0.1625  1 Ge 2.27
4 Rb 0.2500 0.7500 0.5000  4 Ge 3.50, 4 Rb 3.66
5 Rb 0.7500 0.2500 0.5000  4 Ge 3.50, 4 Rb 3.66

Properties
The density of states at the Fermi level comes out at 2.94 states/eV/cell. For the magnetic moment, the calculation gives 0.000 μB/atom. The energy is -12.65 eV/cell.